[1]
Pr12Ni6Pt: relaxed, PBE.

extended XYZ file:
```
19
Lattice="8.153 0.000 -2.882 -4.076 7.060 -2.882 0.000 0.000 8.647" Properties=species:S:1:pos:R:3 pbc="T T T"
Ni 0.504 6.187 -0.713
Pt 0.000 0.000 0.000
Pr 3.800 4.939 0.089
Pr 5.427 2.121 -2.212
Pr 6.454 1.300 2.972
Ni 3.046 3.530 -2.170
Pr 3.602 3.640 3.553
Ni 3.572 0.873 3.595
Pr -1.351 4.939 5.094
Pr -2.378 5.761 -0.089
Pr 2.101 6.239 -2.972
Pr 0.877 5.761 2.212
Ni 1.030 3.530 5.052
Pr 1.975 0.821 5.854
Ni 5.610 2.657 0.713
Pr 0.276 2.121 2.793
Pr 0.474 3.421 -0.671
Pr 3.199 1.300 0.671
Ni -1.534 4.403 2.170
```

## Properties
Total magnetization = 0.000 μB/f.u.
ΔE_f = -271.7 meV per atom


[2]
PrNi2Pt2: relaxed, PBE.

extended XYZ file:
```
10
Lattice="-2.507 -2.603 -2.197 2.842 -0.096 -3.130 4.281 -6.549 6.945" Properties=species:S:1:pos:R:3 pbc="T T T"
Pt -1.253 -1.301 -1.098
Pr 3.357 -5.960 3.231
Pt 2.976 -6.334 0.039
Pt 1.641 -2.913 1.579
Pr 1.259 -3.287 -1.613
Ni 0.971 -5.250 1.042
Ni 3.645 -3.997 0.576
Ni 0.584 -1.038 0.562
Ni 4.032 -8.209 1.056
Pt 1.421 -0.048 -1.565
```

## Properties
Total magnetization = 0.240 μB/f.u.
ΔE_f = -475.0 meV per atom


[3]
Pr6Ni2Pt: relaxed, PBE.

extended XYZ file:
```
18
Lattice="8.132 0.103 -2.771 -4.327 6.949 -2.607 0.094 -0.103 8.590" Properties=species:S:1:pos:R:3 pbc="T T T"
Pr -0.291 1.837 6.098
Pr 0.460 1.685 2.535
Ni 2.805 0.000 1.985
Pr -0.216 4.457 0.305
Pr 3.439 5.265 0.677
Pr 2.478 1.940 -0.467
Ni 5.421 0.000 3.835
Pt 8.226 0.000 5.819
Pr -1.650 6.777 2.333
Pr 4.189 5.112 -2.886
Pr 5.549 0.172 0.879
Ni 1.402 4.336 -1.981
Pt -2.116 3.423 2.992
Ni 2.497 2.613 5.193
Pr -1.689 5.161 5.573
Pr 5.588 1.788 -2.361
Pr 1.421 5.009 3.679
Pr 4.114 2.493 2.907
```

## Properties
Total magnetization = 0.000 μB/f.u.
ΔE_f = -360.0 meV per atom


[4]
Pr4Ni2Pt: relaxed, PBE.

extended XYZ file:
```
14
Lattice="-2.570 -4.008 -5.646 8.248 0.436 -0.575 -2.320 -3.428 6.567" Properties=species:S:1:pos:R:3 pbc="T T T"
Pr 3.021 -2.248 -1.073
Pr -2.688 -5.371 0.920
Ni 0.006 -4.241 1.369
Pr -1.406 -3.305 3.704
Ni 4.876 -3.895 -2.375
Pt 3.165 -6.785 0.348
Pr 2.641 -3.893 -4.602
Pr 2.552 -4.653 2.539
Pt 4.226 -2.499 1.655
Ni 1.371 -2.962 4.681
Pr -1.095 -2.544 -0.733
Ni 0.630 -2.854 -2.922
Pr 1.144 -5.385 -1.128
Pr 1.200 -1.195 2.061
```

## Properties
Total magnetization = 0.000 μB/f.u.
ΔE_f = -436.7 meV per atom


| no. | total energy (eV for the cell shown) |
| --- | --- |
| 1 | -103.24 |
| 2 | -61.60 |
| 3 | -99.04 |
| 4 | -79.56 |